Entry 1:
TiInNi2 | SCAN | PBEsol geometry

Summary:
**Total DFT energy (no corrections)**: -1.529 Ry per atom

Cell and atoms, written as CIF:
```
data_TiInNi2
_symmetry_space_group_name_H-M 'P 4/m m m'
_symmetry_Int_Tables_number 123
_symmetry_space_group_name_Hall '-P 4 2'
_cell_length_a 3.056
_cell_length_b 3.056
_cell_length_c 6.025
_cell_angle_alpha 90.00
_cell_angle_beta 90.00
_cell_angle_gamma 90.00
loop_
_atom_site_label
_atom_site_type_symbol
_atom_site_fract_x
_atom_site_fract_y
_atom_site_fract_z
Ti1 Ti 0.000 0.000 0.000
In1 In 0.000 0.000 0.500
Ni1 Ni 0.500 0.500 0.213
```

=====

Entry 2:
Ti3InNi | SCAN | PBEsol geometry

Summary:
**Total DFT energy (no corrections)**: -1.434 Ry per atom

Cell and atoms, written as CIF:
```
data_Ti3InNi
_symmetry_space_group_name_H-M 'P m -3 m'
_symmetry_Int_Tables_number 221
_symmetry_space_group_name_Hall '-P 4 2 3'
_cell_length_a 4.505
_cell_length_b 4.505
_cell_length_c 4.505
_cell_angle_alpha 90.00
_cell_angle_beta 90.00
_cell_angle_gamma 90.00
loop_
_atom_site_label
_atom_site_type_symbol
_atom_site_fract_x
_atom_site_fract_y
_atom_site_fract_z
Ti1 Ti 0.000 0.000 0.500
In1 In 0.500 0.500 0.500
Ni1 Ni 0.000 0.000 0.000
```

=====

Entry 3:
TlIn2Ni | SCAN | PBEsol geometry

Summary:
**ΔE to the lowest computed polymorph**: 0.378 eV per atom
**Total DFT energy (no corrections)**: -2.821 Ry per atom

Cell and atoms, written as CIF:
```
data_TlIn2Ni
_symmetry_space_group_name_H-M 'F -4 3 m'
_symmetry_Int_Tables_number 216
_symmetry_space_group_name_Hall 'F -4 2 3'
_cell_length_a 6.951
_cell_length_b 6.951
_cell_length_c 6.951
_cell_angle_alpha 90.00
_cell_angle_beta 90.00
_cell_angle_gamma 90.00
loop_
_atom_site_label
_atom_site_type_symbol
_atom_site_fract_x
_atom_site_fract_y
_atom_site_fract_z
Tl1 Tl 0.000 0.000 0.000
In1 In 0.000 0.000 0.500
In2 In 0.250 0.250 0.750
Ni1 Ni 0.250 0.250 0.250
```